CsAg2HgF8: optimized geometry, GGA-PBE.

Values from the calculation:
- Magnetic moment: 0.93 Bohr magnetons per cell
- Symmetry: P-1, No. 2
- Volume: 236.2 Å³ per cell
- Fermi-level density of states: 4.5 states/eV/f.u.
- Formation energy (no corrections): -1.48 eV per atom

Unit cell a=4.7646 b=5.3954 c=9.2893 alpha=84.01 beta=89.98 gamma=84.06
Last column: nearest neighbours and their distance in Å.
Positions (direct):
Hg 0.0000 0.0000 0.0000  6 F 2.30-2.37
Ag 0.4726 0.4950 0.7987  4 F 2.00-2.06
Ag 0.5274 0.5050 0.2013  4 F 2.00-2.06
F 0.1311 0.7524 0.8187  1 Ag 2.05
F 0.4368 0.3069 0.3864  1 Ag 2.00
F 0.8182 0.2389 0.7857  1 Ag 2.05
F 0.5632 0.6931 0.6136  1 Ag 2.00
F 0.3565 0.2726 0.9778  1 Ag 2.06
F 0.8689 0.2476 0.1813  1 Ag 2.05
F 0.1818 0.7611 0.2143  1 Ag 2.05
F 0.6435 0.7274 0.0222  1 Ag 2.06
Cs 0.0000 0.0000 0.5000  8 F 2.92-3.15